# 1
Material: PaHgIrO6
Method: DFT, PBE
State: optimized geometry

D(E_F) (states/eV/atom): 0.60
M_tot (μB per formula unit): 0.83
Density (Mg/m³): 7.30
Energy (eV/f.u.): -62.21
Formation energy (no corrections) (eV/atom): -1.534

extended XYZ file:
```
18
Lattice="-3.664 4.017 5.561 3.664 -4.017 5.561 3.664 4.017 -5.561" Properties=species:S:1:pos:R:3 pbc="T T T"
Pa 0.000 0.000 0.000
Pa 0.000 4.017 0.000
Hg 3.664 2.009 0.234
Hg 0.000 2.009 5.327
Ir 1.832 2.009 -2.780
Ir 1.832 -2.009 2.780
O 1.537 -0.672 1.425
O 5.791 -0.672 1.425
O 3.664 2.009 -2.216
O 1.537 3.345 -1.425
O 2.127 -0.672 4.136
O 0.000 2.009 0.711
O 3.664 2.009 4.850
O 1.537 4.690 1.425
O 2.127 0.672 6.986
O 0.000 2.009 7.777
O -2.127 4.690 4.136
O 2.127 4.690 4.136
```


# 2
Material: BaNiWSe2
Method: DFT, PBE
State: optimized geometry

D(E_F) (states/eV/atom): 0.79
M_tot (μB per formula unit): 3.70
Density (Mg/m³): 7.29
Energy (eV/f.u.): -23.41
Formation energy (no corrections) (eV/atom): 0.844

extended XYZ file:
```
5
Lattice="4.907 0.000 0.000 0.000 4.907 0.000 0.000 0.000 5.088" Properties=species:S:1:pos:R:3 pbc="T T T"
Ba 0.000 0.000 0.000
Ni 0.000 0.000 2.544
W 2.453 2.453 0.000
Se 0.000 2.453 2.544
Se 2.453 0.000 2.544
```